This record from the Alexandria database describes a geometry-optimized Rb3Y3USe8 structure. The functional is PBE.

The structure belongs to space group C2/m (No. 12); the cell edges are 14.545, 8.411 and 9.471 Å and the angles 90.00°, 120.73° and 90.00°. The asymmetric unit holds Rb at (0.000, 0.000, 0.000), Rb at (0.250, 0.250, 0.000), Y at (0.000, 0.500, 0.500), Y at (0.250, 0.250, 0.500), U at (0.000, 0.000, 0.500), Se at (0.019, 0.247, 0.309), Se at (0.229, 0.000, 0.691) and Se at (0.232, 0.500, 0.695).

The formation energy (no corrections) comes out at -1637 meV per atom. For the volume, the calculation gives 33.2 Å³/atom.